The following is a DFT calculation (PBE) of a geometry-optimized In12Te5P3 structure.

- magnetization (μB per cell) = 0.000
- mass density (g cm⁻³) = 5.0
- formation energy (no corrections) (eV per atom) = 0.06

Unit cell a=15.423 b=15.423 c=15.423 alpha=109.47 beta=109.47 gamma=109.47
Sites, in units of the cell vectors:
In 0.050 0.895 0.327
P 0.625 0.375 0.750
Te 0.125 0.375 0.250
In 0.155 0.050 0.723
Te 0.625 0.750 0.875
In 0.605 0.933 0.655
Te 0.500 0.000 0.000
In 0.567 0.345 0.895
P 0.375 0.625 0.250
In 0.550 0.827 0.395
In 0.450 0.277 0.345
In 0.173 0.723 0.567
Te 0.500 0.500 0.500
In 0.327 0.933 0.777
In 0.155 0.105 0.933
In 0.845 0.895 0.067
In 0.777 0.433 0.327
P 0.375 0.750 0.625
P 0.250 0.625 0.875
Te 0.000 0.500 0.000
In 0.827 0.277 0.433
Te 0.375 0.250 0.125
In 0.950 0.105 0.673
Te 0.500 0.000 0.500
Te 0.375 0.125 0.750
In 0.327 0.395 0.050
In 0.550 0.723 0.655
Te 0.750 0.125 0.875
In 0.605 0.673 0.450
In 0.395 0.327 0.550
Te 0.000 0.500 0.500
P 0.875 0.750 0.125
In 0.933 0.605 0.155
P 0.750 0.875 0.625
In 0.433 0.655 0.105
In 0.173 0.450 0.105
In 0.567 0.223 0.173
Te 0.875 0.625 0.750
P 0.125 0.250 0.875
In 0.655 0.223 0.550
P 0.750 0.375 0.125
In 0.950 0.845 0.777
In 0.895 0.050 0.827
Te 0.250 0.375 0.625
In 0.777 0.345 0.950
P 0.625 0.250 0.375
In 0.050 0.155 0.223
In 0.277 0.827 0.933
In 0.067 0.395 0.845
Te 0.000 0.000 0.000
Te 0.250 0.875 0.125
In 0.895 0.845 0.567
In 0.277 0.450 0.845
In 0.105 0.155 0.433
In 0.723 0.550 0.155
In 0.223 0.567 0.673
In 0.723 0.173 0.067
P 0.875 0.125 0.250
In 0.655 0.433 0.605
Te 0.000 0.000 0.500
In 0.433 0.777 0.827
In 0.345 0.567 0.395
In 0.673 0.605 0.950
Te 0.750 0.625 0.375
In 0.673 0.067 0.223
In 0.450 0.173 0.605
In 0.105 0.950 0.173
In 0.395 0.067 0.345
In 0.067 0.673 0.723
In 0.827 0.550 0.895
P 0.125 0.875 0.750
Te 0.125 0.750 0.375
In 0.933 0.327 0.277
P 0.250 0.125 0.375
Te 0.500 0.500 0.000
Te 0.625 0.875 0.250
Te 0.875 0.250 0.625
In 0.345 0.777 0.450
In 0.223 0.655 0.050
In 0.845 0.950 0.277

The following is a DFT calculation (PBE) of a geometry-optimized LaHoTe2O structure.

- magnetization (μB per cell) = 0.000
- mass density (g cm⁻³) = 6.7
- formation energy (no corrections) (eV per atom) = -2.14

Unit cell a=4.258 b=4.258 c=15.692 alpha=90.00 beta=90.00 gamma=90.00
Sites, in units of the cell vectors:
La 0.500 0.000 0.573
Te 0.500 0.000 0.914
Te 0.000 0.500 0.693
Ho 0.500 0.000 0.126
La 0.000 0.500 0.427
Te 0.500 0.000 0.307
O 0.500 0.500 0.500
Te 0.000 0.500 0.086
O 0.000 0.000 0.500
Ho 0.000 0.500 0.874